Entry 1:
DFT (PBE-GGA) results for a relaxed structure of BaIr3Pb.

Values from the calculation:
total magnetization: 0.841 μB/cell
energy relative to the lowest polymorph listed for this composition: 0 meV/atom
calculated total energy: -5.23 eV per atom

a = 5.1091 Å, b = 5.1091 Å, c = 5.1091 Å
α = 90.00°, β = 90.00°, γ = 90.00°
Closest atoms and distances in Å follow each position.
Space group Pm-3m (No. 221)
Unique sites:
Ba: 0.0000 0.0000 0.0000  12 Ir 3.61
Ir: 0.0000 0.5000 0.5000  2 Pb 2.55
Pb: 0.5000 0.5000 0.5000  6 Ir 2.55


Entry 2:
DFT (PBE-GGA) results for a relaxed structure of BaIrPb2.

Values from the calculation:
total magnetization: 0.000 μB/cell
calculated total energy: -4.70 eV per atom

a = 6.0852 Å, b = 9.8154 Å, c = 4.3089 Å
α = 90.00°, β = 90.00°, γ = 90.00°
Closest atoms and distances in Å follow each position.
Space group Cmmm (No. 65)
Unique sites:
Ba: 0.0000 0.0000 0.0000  2 Ir 3.04
Ir: 0.0000 0.5000 0.0000  4 Pb 2.76, 2 Ba 3.04
Pb: 0.0000 0.3245 0.5000  2 Ir 2.76